No. 1
DFT (PBE) results for a relaxed structure of Nd2Sm4Cd.

Output
The density of states at the Fermi level comes out at 8.59 states/eV/cell. Its total magnetization is 0.0 μB per formula unit. The calculation puts the mass density at 7.2 Mg/m³. The space group is C2/m (12). The total energy is -4.16 eV/atom.

a b c (Å): 3.5554 8.6610 8.6644
angles (deg): 116.71 101.84 90.00
Fractional coordinates of all 7 atoms:
Nd 0.7822 0.8585 0.5645
Nd 0.2178 0.1415 0.4355
Sm 0.9198 0.2985 0.8395
Sm 0.0802 0.7015 0.1605
Sm 0.6278 0.3881 0.2556
Sm 0.3722 0.6119 0.7444
Cd 0.0000 0.0000 0.0000


No. 2
DFT (PBE) results for a relaxed structure of Li2PrHg2.

Output
Its energy above the most stable polymorph in this dataset is 0 meV per atom. The density of states at the Fermi level comes out at 3.36 states/eV/cell. Its total magnetization is 0.2 μB per formula unit. The calculation puts the mass density at 7.9 Mg/m³. The space group is I4/mmm (139).

a b c (Å): 4.0951 4.0951 7.5493
angles (deg): 105.74 105.74 90.00
Fractional coordinates of all 5 atoms:
Li 0.7500 0.2500 0.5000
Li 0.2500 0.7500 0.5000
Pr 0.0000 0.0000 0.0000
Hg 0.6142 0.6142 0.2284
Hg 0.3858 0.3858 0.7716


No. 3
DFT (PBE) results for a relaxed structure of K2NpTiTe4.

Output
The density of states at the Fermi level comes out at 10.59 states/eV/cell. Its total magnetization is 5.0 μB per formula unit. The calculation puts the mass density at 5.4 Mg/m³. The space group is P2/m (10). The raw formation energy is -0.85 eV/atom.

a b c (Å): 4.3557 7.4619 8.6460
angles (deg): 106.95 90.00 90.00
Fractional coordinates of all 8 atoms:
K 0.5000 0.0000 0.5000
K 0.0000 0.5000 0.5000
Np 0.0000 0.0000 0.0000
Ti 0.5000 0.5000 0.0000
Te 0.5000 0.2539 0.2067
Te 0.5000 0.7461 0.7933
Te 0.0000 0.2857 0.8046
Te 0.0000 0.7143 0.1954